# BaNaSmMnO6 (GGA+U, optimized geometry)
# D(E_F)   3.7 states/eV/f.u.
# Calculated total energy   -64.47 eV per cell
data_BaNaSmMnO6
_chemical_formula_sum 'Ba1 Na1 Sm1 Mn1 O6'
_cell_length_a 5.9372
_cell_length_b 5.9372
_cell_length_c 5.9372
_cell_angle_alpha 60.00
_cell_angle_beta 60.00
_cell_angle_gamma 60.00
_space_group_name_H-M_alt 'P 1'
_space_group_IT_number 1
_space_group_name_Hall 'P 1'
loop_
_atom_site_label
_atom_site_fract_x
_atom_site_fract_y
_atom_site_fract_z
O1 0.2272 0.7728 0.7728
O2 0.7728 0.2272 0.2272
O3 0.7728 0.2272 0.7728
Na1 0.7500 0.7500 0.7500
O4 0.2272 0.2272 0.7728
O5 0.2272 0.7728 0.2272
Mn1 0.0000 0.0000 0.0000
Sm1 0.5000 0.5000 0.5000
Ba1 0.2500 0.2500 0.2500
O6 0.7728 0.7728 0.2272

# BaNaMnSnO6 (GGA+U, optimized geometry)
# D(E_F)   3.6 states/eV/f.u.
# Calculated total energy   -60.49 eV per cell
data_BaNaMnSnO6
_chemical_formula_sum 'Ba1 Na1 Mn1 Sn1 O6'
_cell_length_a 5.6786
_cell_length_b 5.6786
_cell_length_c 5.6786
_cell_angle_alpha 60.00
_cell_angle_beta 60.00
_cell_angle_gamma 60.00
_space_group_name_H-M_alt 'P 1'
_space_group_IT_number 1
_space_group_name_Hall 'P 1'
loop_
_atom_site_label
_atom_site_fract_x
_atom_site_fract_y
_atom_site_fract_z
O1 0.2414 0.2414 0.7586
Mn1 0.0000 0.0000 0.0000
O2 0.7586 0.7586 0.2414
O3 0.2414 0.7586 0.7586
Sn1 0.5000 0.5000 0.5000
Ba1 0.2500 0.2500 0.2500
O4 0.7586 0.2414 0.2414
O5 0.7586 0.2414 0.7586
O6 0.2414 0.7586 0.2414
Na1 0.7500 0.7500 0.7500

# BaNaSrMnO6 (GGA+U, optimized geometry)
# D(E_F)   8.8 states/eV/f.u.
# Calculated total energy   -58.37 eV per cell
data_BaNaSrMnO6
_chemical_formula_sum 'Ba1 Na1 Sr1 Mn1 O6'
_cell_length_a 5.8319
_cell_length_b 5.8319
_cell_length_c 5.8319
_cell_angle_alpha 60.00
_cell_angle_beta 60.00
_cell_angle_gamma 60.00
_space_group_name_H-M_alt 'P 1'
_space_group_IT_number 1
_space_group_name_Hall 'P 1'
loop_
_atom_site_label
_atom_site_fract_x
_atom_site_fract_y
_atom_site_fract_z
O1 0.2290 0.7710 0.7710
Ba1 0.2500 0.2500 0.2500
O2 0.7710 0.7710 0.2290
Na1 0.5000 0.5000 0.5000
Sr1 0.7500 0.7500 0.7500
Mn1 0.0000 0.0000 0.0000
O3 0.7710 0.2290 0.7710
O4 0.2290 0.7710 0.2290
O5 0.2290 0.2290 0.7710
O6 0.7710 0.2290 0.2290